The following is a PBE+U calculation of crystalline KHoMnO3 at its relaxed geometry, from the Alexandria database.

As for the total energy: -6.930 eV per atom. Its symmetry is Cmcm (63). The calculation puts the magnetization at 0.83 μB/atom.

Lattice parameters (Å, degrees): 3.5546 7.0436 9.1123 90.00 90.00 104.62
With the nearest neighbours (Å) after each atom.
Atoms (fractional coordinates):
K 0.6800 0.3600 0.7500  4 O 2.80-2.86
K 0.3200 0.6400 0.2500  4 O 2.80-2.86
Ho 0.0000 0.0000 0.5000  6 O 2.29-2.30
Ho 0.0000 0.0000 0.0000  6 O 2.29-2.30
Mn 0.4160 0.8321 0.7500  2 O 1.97
Mn 0.5840 0.1679 0.2500  2 O 1.97
O 0.6044 0.2088 0.4643  1 Mn 1.97
O 0.3956 0.7912 0.5357  1 Mn 1.97
O 0.3956 0.7912 0.9643  1 Mn 1.97
O 0.6044 0.2088 0.0357  1 Mn 1.97
O 0.0152 0.0305 0.7500  2 Mn 2.23, 2 Ho 2.29
O 0.9848 0.9695 0.2500  2 Mn 2.23, 2 Ho 2.29